# PbS2O3 PBE optimized geometry
data_PbS2O3
_chemical_formula_sum 'Pb8 S16 O24'
_cell_length_a 7.123
_cell_length_b 16.377
_cell_length_c 7.341
_cell_angle_alpha 90.00
_cell_angle_beta 90.00
_cell_angle_gamma 90.00
_space_group_name_H-M_alt 'P b c a'
_space_group_IT_number 61
_space_group_name_Hall '-P 2ac 2ab'
loop_
_atom_site_label
_atom_site_type_symbol
_atom_site_fract_x
_atom_site_fract_y
_atom_site_fract_z
_atom_site_occupancy
Pb1 Pb 0.152 0.123 0.036 1
S1 S 0.171 0.107 0.507 1
S2 S 0.199 0.709 0.395 1
O1 O 0.034 0.078 0.368 1
O2 O 0.075 0.129 0.677 1
O3 O 0.174 0.547 0.533 1
# Total energy ... -5.534 eV/atom
# Volume ... 107 Å³/f.u.
# Density of states at the Fermi level ... 0.000 states/eV/f.u.
# ΔE_f (raw) ... -1060.9 meV/atom